Entry 1:
## Na2MnNbS4 (GGA-PBE)

Data for a relaxed structure of Na2MnNbS4.

abc: 6.4613 3.5710 6.9791
angles: 90.00 107.66 90.00
Sites, in units of the cell vectors:
Na 0.0000 0.0000 0.0000
Na 0.5000 0.5000 0.0000
Mn 0.0000 0.5000 0.5000
Nb 0.5000 0.0000 0.5000
S 0.2384 0.0000 0.7051
S 0.2687 0.5000 0.2806
S 0.7313 0.5000 0.7194
S 0.7616 0.0000 0.2949

- raw formation energy (eV/atom) = -0.944
- calculated volume (Å³ per atom) = 19.2
- M_tot (Bohr magnetons per cell) = 4.3
- final energy (eV/atom) = -5.74

***

Entry 2:
## Cs2In3GaSn4 (GGA-PBE)

Data for a relaxed structure of Cs2In3GaSn4.

abc: 5.2598 5.2598 11.9367
angles: 90.00 90.00 90.00
Sites, in units of the cell vectors:
Cs 0.0000 0.5000 0.2449
Cs 0.5000 0.0000 0.7551
In 0.0000 0.0000 0.0000
In 0.0000 0.5000 0.6299
In 0.5000 0.0000 0.3701
Ga 0.5000 0.5000 0.0000
Sn 0.0000 0.0000 0.5000
Sn 0.0000 0.5000 0.8790
Sn 0.5000 0.0000 0.1210
Sn 0.5000 0.5000 0.5000

- formation enthalpy at 0 K (meV per atom) = -159
- calculated volume (Å³ per atom) = 33.0
- M_tot (Bohr magnetons per cell) = 0.0
- final energy (eV/atom) = -3.06

***

Entry 3:
## AsPbBr (GGA-PBE)

Data for a relaxed structure of AsPbBr.

abc: 4.0060 4.1837 10.7046
angles: 88.17 89.98 89.98
Sites, in units of the cell vectors:
As 0.2498 0.1943 0.4969
As 0.7502 0.8057 0.5031
Pb 0.2508 0.6624 0.2709
Pb 0.7492 0.3376 0.7291
Br 0.2490 0.7714 0.8567
Br 0.7510 0.2286 0.1433

- raw formation energy (eV/atom) = -0.412
- calculated volume (Å³ per atom) = 29.9
- M_tot (Bohr magnetons per cell) = 0.0
- energy above the lowest structure with this stoichiometry (meV per atom) = 0
- final energy (eV/atom) = -3.76

***

Entry 4:
## PrEu2Mg (GGA-PBE)

Data for a relaxed structure of PrEu2Mg.

abc: 3.7471 3.7471 10.0967
angles: 90.00 90.00 90.00
Sites, in units of the cell vectors:
Pr 0.0000 0.0000 0.0000
Eu 0.5000 0.5000 0.2737
Eu 0.5000 0.5000 0.7263
Mg 0.0000 0.0000 0.5000

- formation enthalpy at 0 K (meV per atom) = 10
- calculated volume (Å³ per atom) = 35.4
- M_tot (Bohr magnetons per cell) = 14.7
- energy above the lowest structure with this stoichiometry (meV per atom) = 0
- final energy (eV/atom) = -6.72

***

Entry 5:
## CrHgMo2 (GGA-PBE)

Data for a relaxed structure of CrHgMo2.

abc: 5.4885 8.5522 2.7815
angles: 90.00 90.00 90.00
Sites, in units of the cell vectors:
Cr 0.0000 0.0000 0.0000
Cr 0.5000 0.5000 0.0000
Hg 0.0000 0.5000 0.0000
Hg 0.5000 0.0000 0.0000
Mo 0.2500 0.2500 0.5000
Mo 0.2500 0.7500 0.5000
Mo 0.7500 0.2500 0.5000
Mo 0.7500 0.7500 0.5000

- formation enthalpy at 0 K (meV per atom) = 581
- calculated volume (Å³ per atom) = 16.3
- M_tot (Bohr magnetons per cell) = 4.8
- final energy (eV/atom) = -7.32

***

Entry 6:
## MgFe (GGA-PBE)

Data for a relaxed structure of MgFe.

abc: 8.3032 8.3032 4.1588
angles: 90.00 90.00 90.00
Sites, in units of the cell vectors:
Mg 0.0932 0.6442 0.0000
Mg 0.1347 0.2607 0.5000
Mg 0.2607 0.8653 0.5000
Mg 0.3558 0.0932 0.0000
Mg 0.6442 0.9068 0.0000
Mg 0.7393 0.1347 0.5000
Mg 0.8653 0.7393 0.5000
Mg 0.9068 0.3558 0.0000
Fe 0.3020 0.5544 0.5000
Fe 0.3149 0.4028 0.0000
Fe 0.4028 0.6851 0.0000
Fe 0.4456 0.3020 0.5000
Fe 0.5544 0.6980 0.5000
Fe 0.5972 0.3149 0.0000
Fe 0.6851 0.5972 0.0000
Fe 0.6980 0.4456 0.5000

- formation enthalpy at 0 K (meV per atom) = 257
- calculated volume (Å³ per atom) = 17.9
- M_tot (Bohr magnetons per cell) = 15.5
- final energy (eV/atom) = -4.77

***

Entry 7:
## Ac2La3Pb4 (GGA-PBE)

Data for a relaxed structure of Ac2La3Pb4.

abc: 9.9165 9.9165 9.4777
angles: 90.00 90.00 134.97
Sites, in units of the cell vectors:
Ac 0.1093 0.8907 0.9151
Ac 0.3907 0.6093 0.4151
Ac 0.6093 0.3907 0.5849
Ac 0.8907 0.1093 0.0849
La 0.0000 0.0000 0.5000
La 0.0423 0.4577 0.7500
La 0.4577 0.0423 0.2500
La 0.5000 0.5000 0.0000
La 0.5423 0.9577 0.7500
La 0.9577 0.5423 0.2500
Pb 0.1850 0.8150 0.5541
Pb 0.2176 0.2824 0.7500
Pb 0.2824 0.2176 0.2500
Pb 0.3150 0.6850 0.0541
Pb 0.6850 0.3150 0.9459
Pb 0.7176 0.7824 0.7500
Pb 0.7824 0.7176 0.2500
Pb 0.8150 0.1850 0.4459

- formation enthalpy at 0 K (meV per atom) = -502
- calculated volume (Å³ per atom) = 36.6
- M_tot (Bohr magnetons per cell) = 0.0
- energy above the lowest structure with this stoichiometry (meV per atom) = 123
- final energy (eV/atom) = -4.71

***

Entry 8:
## AgMoP2 (GGA-PBE)

Data for a relaxed structure of AgMoP2.

abc: 6.2670 6.2670 6.2670
angles: 90.00 90.00 90.00
Sites, in units of the cell vectors:
Ag 0.0000 0.0000 0.0000
Ag 0.0000 0.5000 0.5000
Ag 0.5000 0.0000 0.5000
Ag 0.5000 0.5000 0.0000
Mo 0.0000 0.0000 0.5000
Mo 0.0000 0.5000 0.0000
Mo 0.5000 0.0000 0.0000
Mo 0.5000 0.5000 0.5000
P 0.2500 0.2500 0.2500
P 0.2500 0.2500 0.7500
P 0.2500 0.7500 0.2500
P 0.2500 0.7500 0.7500
P 0.7500 0.2500 0.2500
P 0.7500 0.2500 0.7500
P 0.7500 0.7500 0.2500
P 0.7500 0.7500 0.7500

- formation enthalpy at 0 K (meV per atom) = 375
- calculated volume (Å³ per atom) = 15.4
- M_tot (Bohr magnetons per cell) = 6.6
- energy above the lowest structure with this stoichiometry (meV per atom) = 438
- final energy (eV/atom) = -5.75

***

Entry 9:
## ZnSi2Mo (GGA-PBE)

Data for a relaxed structure of ZnSi2Mo.

abc: 3.3461 4.0522 8.2869
angles: 90.00 90.00 90.00
Sites, in units of the cell vectors:
Zn 0.0000 0.0000 0.0000
Zn 0.5000 0.5000 0.5000
Si 0.0000 0.0000 0.5118
Si 0.0000 0.5000 0.2566
Si 0.5000 0.0000 0.7566
Si 0.5000 0.5000 0.0118
Mo 0.0000 0.5000 0.7662
Mo 0.5000 0.0000 0.2662

- raw formation energy (eV/atom) = 0.058
- calculated volume (Å³ per atom) = 14.0
- M_tot (Bohr magnetons per cell) = 0.0
- final energy (eV/atom) = -5.68